(1)
This record from the Alexandria database describes crystalline Ce2SmErBi4 at its relaxed geometry. The functional is PBE-GGA.

Unit cell a=4.5503 b=7.8909 c=7.8815 alpha=70.54 beta=90.00 gamma=90.00
Last column: nearest neighbours and their distance in Å.
Sites, in units of the cell vectors:
Ce 0.0000 0.0000 0.0000  6 Bi 3.26
Ce 0.5000 0.0000 0.5000  6 Bi 3.22
Sm 0.5000 0.5000 0.0000  6 Bi 3.21-3.22
Er 0.0000 0.5000 0.5000  6 Bi 3.18
Bi 0.0000 0.7463 0.7476  1 Er 3.18, 2 Sm 3.21, 3 Ce 3.22-3.26
Bi 0.0000 0.2537 0.2524  1 Er 3.18, 2 Sm 3.21, 3 Ce 3.22-3.26
Bi 0.5000 0.7436 0.2557  2 Er 3.18, 1 Sm 3.22, 3 Ce 3.22-3.26
Bi 0.5000 0.2564 0.7443  2 Er 3.18, 1 Sm 3.22, 3 Ce 3.22-3.26

The calculation puts the formation energy at -829 meV/atom.


(2)
This record from the Alexandria database describes crystalline Ce3Sm2ErBi6 at its relaxed geometry. The functional is PBE-GGA.

Unit cell a=7.9038 b=7.9038 c=7.9024 alpha=99.60 beta=99.60 gamma=120.00
Last column: nearest neighbours and their distance in Å.
Sites, in units of the cell vectors:
Ce 0.1686 0.8314 0.5000  6 Bi 3.23-3.25
Ce 0.8314 0.1686 0.5000  6 Bi 3.23-3.25
Ce 0.5000 0.5000 0.5000  6 Bi 3.23-3.27
Sm 0.3341 0.6659 0.0000  6 Bi 3.22-3.23
Sm 0.6659 0.3341 0.0000  6 Bi 3.22-3.23
Er 0.0000 0.0000 0.0000  6 Bi 3.18-3.19
Bi 0.9185 0.5892 0.7546  1 Er 3.18, 2 Sm 3.22-3.23, 3 Ce 3.23-3.25
Bi 0.7538 0.7538 0.2478  1 Er 3.19, 2 Sm 3.22, 3 Ce 3.24-3.27
Bi 0.0815 0.4108 0.2454  1 Er 3.18, 2 Sm 3.22-3.23, 3 Ce 3.23-3.25
Bi 0.5892 0.9185 0.7546  1 Er 3.18, 2 Sm 3.22-3.23, 3 Ce 3.23-3.25
Bi 0.2462 0.2462 0.7522  1 Er 3.19, 2 Sm 3.22, 3 Ce 3.24-3.27
Bi 0.4108 0.0815 0.2454  1 Er 3.18, 2 Sm 3.22-3.23, 3 Ce 3.23-3.25

The calculation puts the formation energy at -841 meV/atom.


(3)
This record from the Alexandria database describes crystalline Ce2SmEr3Bi6 at its relaxed geometry. The functional is PBE-GGA.

Unit cell a=4.5268 b=9.0273 c=10.0918 alpha=102.74 beta=102.96 gamma=90.00
Last column: nearest neighbours and their distance in Å.
Sites, in units of the cell vectors:
Ce 0.8338 0.6679 0.6677  6 Bi 3.22-3.24
Ce 0.1662 0.3321 0.3323  6 Bi 3.22-3.24
Sm 0.5000 0.0000 0.0000  6 Bi 3.23
Er 0.5000 0.5000 0.0000  6 Bi 3.16
Er 0.8337 0.1663 0.6674  6 Bi 3.15-3.17
Er 0.1663 0.8337 0.3326  6 Bi 3.15-3.17
Bi 0.3317 0.9219 0.6633  3 Er 3.15-3.17, 1 Sm 3.23, 2 Ce 3.23
Bi 0.6648 0.5881 0.3295  3 Er 3.16, 3 Ce 3.24
Bi 0.6683 0.0781 0.3367  3 Er 3.15-3.17, 1 Sm 3.23, 2 Ce 3.23
Bi 0.9981 0.2542 0.9961  3 Er 3.15-3.16, 1 Ce 3.22, 2 Sm 3.23
Bi 0.0019 0.7458 0.0039  3 Er 3.15-3.16, 1 Ce 3.22, 2 Sm 3.23
Bi 0.3352 0.4119 0.6705  3 Er 3.16, 3 Ce 3.24

The calculation puts the formation energy at -826 meV/atom.


(4)
This record from the Alexandria database describes crystalline CeSm2ErBi5 at its relaxed geometry. The functional is PBE-GGA.

Unit cell a=5.5683 b=5.5683 c=11.8339 alpha=90.00 beta=90.00 gamma=90.00
Last column: nearest neighbours and their distance in Å.
Sites, in units of the cell vectors:
Ce 0.0000 0.0000 0.5000  6 Bi 2.78-3.03
Sm 0.5000 0.5000 0.2752  1 Bi 3.26
Sm 0.5000 0.5000 0.7248  1 Bi 3.26
Er 0.0000 0.0000 0.0000  2 Bi 2.89
Bi 0.0000 0.5000 0.5000  2 Ce 2.78
Bi 0.5000 0.0000 0.5000  2 Ce 2.78
Bi 0.0000 0.0000 0.7556  1 Er 2.89, 1 Ce 3.03
Bi 0.0000 0.0000 0.2444  1 Er 2.89, 1 Ce 3.03
Bi 0.5000 0.5000 0.0000  2 Sm 3.26

The calculation puts the formation energy at 0 meV/atom.


E_tot, respectively: -5.4131, -5.4316, -5.2891, -4.3711 eV per atom.
Total magnetic moment, respectively: 1.71, 2.59, 1.62, 0.00 Bohr magnetons per cell.
N(E_F), respectively: 14.8, 20.3, 13.5, 8.4 states/eV/cell.